Entry from the Alexandria database: a relaxed Cs3Tl4Cd crystal (PBE).

The structure belongs to space group C2 (No. 5); the cell edges are 13.2225, 7.6461 and 8.1845 Å and the angles 90.00°, 119.10° and 90.00°. The asymmetric unit holds Cs at (0.0000, 0.0000, 0.0000), Cs at (0.1950, 0.2158, 0.5871), Tl at (0.0469, 0.4910, 0.8528), Tl at (0.2268, 0.7799, 0.8705) and Cd at (0.0000, 0.7305, 0.5000).

The value obtained for the electronic total energy is -1.6637 eV per atom.

Entry from the Alexandria database: a relaxed Zr2InSi crystal (PBE).

The structure belongs to space group C2/m (No. 12); the cell edges are 6.2099, 8.3913 and 3.0742 Å and the angles 90.00°, 90.69° and 90.00°. The asymmetric unit holds Zr at (0.2500, 0.2500, 0.0000), In at (0.0000, 0.0000, 0.5000) and Si at (0.0000, 0.5000, 0.5000).

The value obtained for the electronic total energy is -6.6472 eV per atom. For the formation energy without anion corrections, the calculation gives -0.333 eV/atom.

Entry from the Alexandria database: a relaxed BeMoBr2 crystal (PBE).

The structure belongs to space group Cmmm (No. 65); the cell edges are 3.1484, 6.0818 and 7.9337 Å and the angles 90.00°, 90.00° and 90.00°. The asymmetric unit holds Be at (0.0000, 0.0000, 0.0000), Mo at (0.0000, 0.0000, 0.5000) and Br at (0.0000, 0.5000, 0.2131).

The value obtained for the electronic total energy is -3.7226 eV per atom. For the formation energy without anion corrections, the calculation gives 0.753 eV/atom. The excess energy over the best structure of this formula in the dataset comes out at 725 meV per atom.

Entry from the Alexandria database: a relaxed YMoPb2 crystal (PBE).

The structure belongs to space group Amm2 (No. 38); the cell edges are 5.1867, 3.4580 and 11.2292 Å and the angles 90.00°, 90.00° and 90.00°. The asymmetric unit holds Y at (0.0000, 0.0000, 0.0000), Mo at (0.5000, 0.0000, 0.6102), Pb at (0.0000, 0.0000, 0.7279) and Pb at (0.5000, 0.0000, 0.3488).

The value obtained for the electronic total energy is -5.8383 eV per atom. The excess energy over the best structure of this formula in the dataset comes out at 141 meV per atom.

no.,V (A^3/atom)
1,45.19
2,20.02
3,18.99
4,25.17